A relaxed structure of Ba3CoO, computed with PBE+U.

Calculated values
The polymorph energy (0 for the lowest one) comes out at 0.0 kJ/mol of atoms.

```
data_Ba3CoO
_chemical_formula_sum 'Ba3 Co1 O1'
_cell_length_a 5.450
_cell_length_b 5.450
_cell_length_c 5.450
_cell_angle_alpha 90.00
_cell_angle_beta 90.00
_cell_angle_gamma 90.00
_space_group_name_H-M_alt 'P m -3 m'
_space_group_IT_number 221
_space_group_name_Hall '-P 4 2 3'
loop_
_atom_site_label
_atom_site_fract_x
_atom_site_fract_y
_atom_site_fract_z
Ba1 0.000 0.000 0.500
Co1 0.500 0.500 0.500
O1 0.000 0.000 0.000
```